Computed, not measured: a relaxed structure of TaTlCu2 at the PBE level of DFT.

Values from the calculation:
* mass density: 12.9 g/cm³
* magnetic moment: 0.000 μB/atom
* symmetry: F-43m (216)
* crystal system: cubic
* DFT total energy: -19.29 eV/cell

Cell: 4.5406 4.5406 4.5406 Å, 60.00 60.00 60.00°
Closest atoms and distances in Å follow each position.
Positions (direct):
Ta (0.0000, 0.0000, 0.0000)  4 Tl 2.78, 4 Cu 2.78
Tl (0.7500, 0.7500, 0.7500)  4 Cu 2.78, 4 Ta 2.78
Cu (0.2500, 0.2500, 0.2500)  4 Cu 2.78, 4 Ta 2.78
Cu (0.5000, 0.5000, 0.5000)  4 Cu 2.78, 4 Tl 2.78